## one
# Ce2HoAl, optimized geometry, DFT GGA-PBE
# * DOS at the Fermi energy: 9.84 states/eV per cell
data_Ce2HoAl
_symmetry_space_group_name_H-M 'P 1'
_symmetry_Int_Tables_number 1
_cell_length_a 3.938
_cell_length_b 3.938
_cell_length_c 7.086
_cell_angle_alpha 90.00
_cell_angle_beta 90.00
_cell_angle_gamma 90.00
loop_
_symmetry_equiv_pos_as_xyz
'x,y,z'
loop_
_atom_site_label
_atom_site_type_symbol
_atom_site_fract_x
_atom_site_fract_y
_atom_site_fract_z
_atom_site_occupancy
Ce1 Ce 0.000 0.000 0.802 1
Ce2 Ce 0.000 0.000 0.198 1
Ho1 Ho 0.500 0.500 0.500 1
Al1 Al 0.500 0.500 0.000 1

=====

## two
# Ce2HoAl, optimized geometry, DFT GGA-PBE
# * DOS at the Fermi energy: 12.44 states/eV per cell
data_Ce2HoAl
_symmetry_space_group_name_H-M 'P 1'
_symmetry_Int_Tables_number 1
_cell_length_a 5.347
_cell_length_b 5.347
_cell_length_c 5.347
_cell_angle_alpha 60.00
_cell_angle_beta 60.00
_cell_angle_gamma 60.00
loop_
_symmetry_equiv_pos_as_xyz
'x,y,z'
loop_
_atom_site_label
_atom_site_type_symbol
_atom_site_fract_x
_atom_site_fract_y
_atom_site_fract_z
_atom_site_occupancy
Al1 Al 0.500 0.500 0.500 1
Ce1 Ce 0.250 0.250 0.250 1
Ce2 Ce 0.750 0.750 0.750 1
Ho1 Ho 0.000 0.000 0.000 1

=====

It turns out one is the most stable, with the second structure 88 meV per atom higher.

=====

## one
# Ce2HoAl, optimized geometry, DFT GGA-PBE
# * DOS at the Fermi energy: 17.55 states/eV per cell
data_Ce2HoAl
_symmetry_space_group_name_H-M 'P 1'
_symmetry_Int_Tables_number 1
_cell_length_a 4.994
_cell_length_b 6.517
_cell_length_c 6.355
_cell_angle_alpha 89.90
_cell_angle_beta 90.00
_cell_angle_gamma 90.00
loop_
_symmetry_equiv_pos_as_xyz
'x,y,z'
loop_
_atom_site_label
_atom_site_type_symbol
_atom_site_fract_x
_atom_site_fract_y
_atom_site_fract_z
_atom_site_occupancy
Ce1 Ce 0.250 0.888 0.968 1
Ce2 Ce 0.750 0.112 0.032 1
Ce3 Ce 0.250 0.888 0.532 1
Ce4 Ce 0.750 0.112 0.468 1
Al1 Al 0.750 0.672 0.751 1
Al2 Al 0.250 0.328 0.249 1
Ho1 Ho 0.250 0.398 0.749 1
Ho2 Ho 0.750 0.602 0.251 1

=====

## two
# Ce2HoAl, optimized geometry, DFT GGA-PBE
# * DOS at the Fermi energy: 8.43 states/eV per cell
data_Ce2HoAl
_symmetry_space_group_name_H-M 'P 1'
_symmetry_Int_Tables_number 1
_cell_length_a 3.178
_cell_length_b 3.178
_cell_length_c 11.810
_cell_angle_alpha 82.27
_cell_angle_beta 82.27
_cell_angle_gamma 60.00
loop_
_symmetry_equiv_pos_as_xyz
'x,y,z'
loop_
_atom_site_label
_atom_site_type_symbol
_atom_site_fract_x
_atom_site_fract_y
_atom_site_fract_z
_atom_site_occupancy
Ce1 Ce 0.909 0.909 0.274 1
Ce2 Ce 0.091 0.091 0.726 1
Al1 Al 0.500 0.500 0.500 1
Ho1 Ho 0.000 0.000 0.000 1

=====

## three
# Ce2HoAl, optimized geometry, DFT GGA-PBE
# * DOS at the Fermi energy: 9.10 states/eV per cell
data_Ce2HoAl
_symmetry_space_group_name_H-M 'P 1'
_symmetry_Int_Tables_number 1
_cell_length_a 5.013
_cell_length_b 4.528
_cell_length_c 4.528
_cell_angle_alpha 90.00
_cell_angle_beta 90.00
_cell_angle_gamma 90.00
loop_
_symmetry_equiv_pos_as_xyz
'x,y,z'
loop_
_atom_site_label
_atom_site_type_symbol
_atom_site_fract_x
_atom_site_fract_y
_atom_site_fract_z
_atom_site_occupancy
Al1 Al 0.500 0.500 0.500 1
Ho1 Ho 0.500 0.000 0.000 1
Ce1 Ce 0.000 0.000 0.500 1
Ce2 Ce 0.000 0.500 0.000 1

=====

It turns out one is the most stable, with the second structure 30 meV per atom higher.

=====

## one
# CeAlIn2, optimized geometry, DFT GGA-PBE
# * DOS at the Fermi energy: 7.22 states/eV per cell
data_CeAlIn2
_symmetry_space_group_name_H-M 'P 1'
_symmetry_Int_Tables_number 1
_cell_length_a 3.719
_cell_length_b 3.719
_cell_length_c 7.200
_cell_angle_alpha 90.00
_cell_angle_beta 90.00
_cell_angle_gamma 90.00
loop_
_symmetry_equiv_pos_as_xyz
'x,y,z'
loop_
_atom_site_label
_atom_site_type_symbol
_atom_site_fract_x
_atom_site_fract_y
_atom_site_fract_z
_atom_site_occupancy
In1 In 0.000 0.000 0.790 1
In2 In 0.000 0.000 0.210 1
Ce1 Ce 0.500 0.500 0.500 1
Al1 Al 0.500 0.500 0.000 1

=====

## two
# CeAlIn2, optimized geometry, DFT GGA-PBE
# * DOS at the Fermi energy: 5.37 states/eV per cell
data_CeAlIn2
_symmetry_space_group_name_H-M 'P 1'
_symmetry_Int_Tables_number 1
_cell_length_a 5.185
_cell_length_b 5.185
_cell_length_c 5.186
_cell_angle_alpha 60.01
_cell_angle_beta 60.01
_cell_angle_gamma 60.00
loop_
_symmetry_equiv_pos_as_xyz
'x,y,z'
loop_
_atom_site_label
_atom_site_type_symbol
_atom_site_fract_x
_atom_site_fract_y
_atom_site_fract_z
_atom_site_occupancy
In1 In 0.250 0.250 0.250 1
In2 In 0.750 0.750 0.750 1
Ce1 Ce 0.500 0.500 0.500 1
Al1 Al 0.000 0.000 0.000 1

=====

## three
# CeAlIn2, optimized geometry, DFT GGA-PBE
# * DOS at the Fermi energy: 6.00 states/eV per cell
data_CeAlIn2
_symmetry_space_group_name_H-M 'P 1'
_symmetry_Int_Tables_number 1
_cell_length_a 4.673
_cell_length_b 4.551
_cell_length_c 4.551
_cell_angle_alpha 90.00
_cell_angle_beta 90.00
_cell_angle_gamma 90.00
loop_
_symmetry_equiv_pos_as_xyz
'x,y,z'
loop_
_atom_site_label
_atom_site_type_symbol
_atom_site_fract_x
_atom_site_fract_y
_atom_site_fract_z
_atom_site_occupancy
In1 In 0.000 0.500 0.000 1
In2 In 0.000 0.000 0.500 1
Ce1 Ce 0.500 0.500 0.500 1
Al1 Al 0.500 0.000 0.000 1

=====

It turns out three is the most stable, with the second structure 201 meV per atom higher.

=====

## one
# Ce6AlIn2, optimized geometry, DFT GGA-PBE
# * DOS at the Fermi energy: 23.18 states/eV per cell
data_Ce6AlIn2
_symmetry_space_group_name_H-M 'P 1'
_symmetry_Int_Tables_number 1
_cell_length_a 3.034
_cell_length_b 9.106
_cell_length_c 9.106
_cell_angle_alpha 120.00
_cell_angle_beta 90.00
_cell_angle_gamma 90.00
loop_
_symmetry_equiv_pos_as_xyz
'x,y,z'
loop_
_atom_site_label
_atom_site_type_symbol
_atom_site_fract_x
_atom_site_fract_y
_atom_site_fract_z
_atom_site_occupancy
Ce1 Ce 0.500 0.318 0.318 1
Ce2 Ce 0.500 0.682 0.000 1
Ce3 Ce 0.500 0.318 0.000 1
Ce4 Ce 0.500 0.000 0.682 1
Ce5 Ce 0.500 0.682 0.682 1
Ce6 Ce 0.500 0.000 0.318 1
Al1 Al 0.000 0.000 0.000 1
In1 In 0.000 0.667 0.333 1
In2 In 0.000 0.333 0.667 1

=====

## two
# Ce6AlIn2, optimized geometry, DFT GGA-PBE
# * DOS at the Fermi energy: 23.07 states/eV per cell
data_Ce6AlIn2
_symmetry_space_group_name_H-M 'P 1'
_symmetry_Int_Tables_number 1
_cell_length_a 3.080
_cell_length_b 9.397
_cell_length_c 9.397
_cell_angle_alpha 56.95
_cell_angle_beta 80.57
_cell_angle_gamma 80.57
loop_
_symmetry_equiv_pos_as_xyz
'x,y,z'
loop_
_atom_site_label
_atom_site_type_symbol
_atom_site_fract_x
_atom_site_fract_y
_atom_site_fract_z
_atom_site_occupancy
Ce1 Ce 0.000 0.819 0.181 1
Ce2 Ce 0.845 0.815 0.495 1
Ce3 Ce 0.845 0.495 0.815 1
Ce4 Ce 0.155 0.185 0.505 1
Ce5 Ce 0.155 0.505 0.185 1
Ce6 Ce 0.000 0.181 0.819 1
Al1 Al 0.500 0.500 0.500 1
In1 In 0.660 0.840 0.840 1
In2 In 0.340 0.160 0.160 1

=====

It turns out one is the most stable, with the second structure 60 meV per atom higher.

=====

## one
# Ce7AlIn3, optimized geometry, DFT GGA-PBE
# * DOS at the Fermi energy: 59.92 states/eV per cell
data_Ce7AlIn3
_symmetry_space_group_name_H-M 'P 1'
_symmetry_Int_Tables_number 1
_cell_length_a 3.168
_cell_length_b 12.261
_cell_length_c 15.462
_cell_angle_alpha 90.00
_cell_angle_beta 90.00
_cell_angle_gamma 97.42
loop_
_symmetry_equiv_pos_as_xyz
'x,y,z'
loop_
_atom_site_label
_atom_site_type_symbol
_atom_site_fract_x
_atom_site_fract_y
_atom_site_fract_z
_atom_site_occupancy
In1 In 0.810 0.621 0.250 1
In2 In 0.140 0.279 0.050 1
In3 In 0.140 0.279 0.450 1
In4 In 0.190 0.379 0.750 1
In5 In 0.860 0.721 0.950 1
In6 In 0.860 0.721 0.550 1
Ce1 Ce 0.478 0.956 0.580 1
Ce2 Ce 0.522 0.044 0.080 1
Ce3 Ce 0.522 0.044 0.420 1
Ce4 Ce 0.271 0.542 0.425 1
Ce5 Ce 0.729 0.458 0.575 1
Ce6 Ce 0.585 0.169 0.637 1
Ce7 Ce 0.478 0.956 0.920 1
Ce8 Ce 0.366 0.732 0.750 1
Ce9 Ce 0.634 0.268 0.250 1
Ce10 Ce 0.729 0.458 0.925 1
Ce11 Ce 0.271 0.542 0.075 1
Ce12 Ce 0.415 0.831 0.137 1
Ce13 Ce 0.415 0.831 0.363 1
Ce14 Ce 0.585 0.169 0.863 1
Al1 Al 0.009 0.019 0.250 1
Al2 Al 0.991 0.981 0.750 1

=====

## two
# Ce7AlIn3, optimized geometry, DFT GGA-PBE
# * DOS at the Fermi energy: 32.74 states/eV per cell
data_Ce7AlIn3
_symmetry_space_group_name_H-M 'P 1'
_symmetry_Int_Tables_number 1
_cell_length_a 5.663
_cell_length_b 8.143
_cell_length_c 8.143
_cell_angle_alpha 84.69
_cell_angle_beta 113.65
_cell_angle_gamma 113.65
loop_
_symmetry_equiv_pos_as_xyz
'x,y,z'
loop_
_atom_site_label
_atom_site_type_symbol
_atom_site_fract_x
_atom_site_fract_y
_atom_site_fract_z
_atom_site_occupancy
Ce1 Ce 0.000 0.500 0.500 1
Ce2 Ce 0.783 0.794 0.794 1
Ce3 Ce 0.288 0.074 0.565 1
Ce4 Ce 0.712 0.435 0.926 1
Ce5 Ce 0.217 0.206 0.206 1
Ce6 Ce 0.712 0.926 0.435 1
Ce7 Ce 0.288 0.565 0.074 1
Al1 Al 0.500 0.500 0.500 1
In1 In 0.000 0.220 0.780 1
In2 In 0.500 0.000 0.000 1
In3 In 0.000 0.780 0.220 1

=====

It turns out one is the most stable, with the second structure 66 meV per atom higher.